Below is a relaxed structure of Nd2Er4Sc5, with properties calculated at the PBE-GGA level.

density: 6.10 g/cm3
E_form: 143 kJ/mol of formula units
uncorrected energy: -57.968 eV per cell

a = 3.421 Å, b = 8.409 Å, c = 11.946 Å
α = 110.60°, β = 90.00°, γ = 90.00°
Last column: magnetic moment on the atom in μB.
Fractional positions:
Sc 0.000 0.507 0.379  0.31
Sc 0.000 0.084 0.900  -0.03
Sc 0.000 0.916 0.100  -0.03
Sc 0.000 0.500 0.000  0.07
Sc 0.000 0.493 0.621  0.31
Nd 0.000 0.122 0.400  0.05
Nd 0.000 0.878 0.600  0.05
Er 0.500 0.727 0.851  0.06
Er 0.500 0.267 0.742  0.07
Er 0.500 0.733 0.258  0.07
Er 0.500 0.273 0.149  0.06